*i*
A plane-wave DFT calculation with GGA-PBE was carried out for BeSbF3 after structural relaxation.

a b c (Å): 3.916 3.916 3.916
angles (deg): 90.00 90.00 90.00
Space group Pm-3m (No. 221)
Inequivalent atoms, fractional coordinates:
Be 0.000 0.000 0.000 [1 per cell]
Sb 0.500 0.500 0.500 [1 per cell]
F 0.000 0.000 0.500 [3 per cell]

Results
Size of the total moment (μB per formula unit): 0.00
Volume (Å³ per cell): 60

---

*ii*
A plane-wave DFT calculation with GGA-PBE was carried out for BeSbF3 after structural relaxation.

a b c (Å): 4.496 4.496 4.496
angles (deg): 90.00 90.00 90.00
Space group Pm-3m (No. 221)
Inequivalent atoms, fractional coordinates:
Be 0.000 0.000 0.000 [1 per cell]
Sb 0.500 0.500 0.500 [1 per cell]
F 0.000 0.500 0.500 [3 per cell]

Results
Size of the total moment (μB per formula unit): 0.00
Volume (Å³ per cell): 91

---

Which structure is the least stable? The one labeled *ii*.

---

*i*
A plane-wave DFT calculation with GGA-PBE was carried out for ScBeF2 after structural relaxation.

a b c (Å): 2.8012 2.8012 27.5346
angles (deg): 90.00 90.00 120.00
Space group R-3m (No. 166, hexagonal axes)
Inequivalent atoms, fractional coordinates:
Sc 0.0000 0.0000 0.0000 [3 per cell]
Be 0.0000 0.0000 0.5000 [3 per cell]
F 0.0000 0.0000 0.1353 [6 per cell]

Results
Size of the total moment (μB per formula unit): 0.82
Volume (Å³ per cell): 187

---

*ii*
A plane-wave DFT calculation with GGA-PBE was carried out for ScBeF2 after structural relaxation.

a b c (Å): 5.418 5.418 7.774
angles (deg): 90.00 90.00 90.00
Space group I4_1/amd (No. 141, origin choice 2)
Inequivalent atoms, fractional coordinates:
Sc 0.000 0.250 0.375 [4 per cell]
Be 0.000 0.250 0.875 [4 per cell]
F 0.000 0.000 0.000 [8 per cell]

Results
Size of the total moment (μB per formula unit): 2.06
Volume (Å³ per cell): 228

---

*iii*
A plane-wave DFT calculation with GGA-PBE was carried out for ScBeF2 after structural relaxation.

a b c (Å): 2.8822 2.8822 20.1616
angles (deg): 90.00 90.00 120.00
Space group R-3m (No. 166, hexagonal axes)
Inequivalent atoms, fractional coordinates:
Sc 0.0000 0.0000 0.0000 [3 per cell]
Be 0.0000 0.0000 0.5000 [3 per cell]
F 0.0000 0.0000 0.4093 [6 per cell]

Results
Size of the total moment (μB per formula unit): 0.39
Volume (Å³ per cell): 145

---

Which structure is the least stable? The one labeled *ii*.

---

*i*
A plane-wave DFT calculation with GGA-PBE was carried out for ScBe2F after structural relaxation.

a b c (Å): 6.124 6.124 6.124
angles (deg): 90.00 90.00 90.00
Space group Fm-3m (No. 225)
Inequivalent atoms, fractional coordinates:
Sc 0.000 0.000 0.000 [4 per cell]
Be 0.250 0.250 0.250 [8 per cell]
F 0.000 0.000 0.500 [4 per cell]

Results
Size of the total moment (μB per formula unit): 0.00
Volume (Å³ per cell): 230

---

*ii*
A plane-wave DFT calculation with GGA-PBE was carried out for ScBe2F after structural relaxation.

a b c (Å): 5.516 5.516 7.643
angles (deg): 90.00 90.00 90.00
Space group I-42d (No. 122)
Inequivalent atoms, fractional coordinates:
Sc 0.000 0.000 0.000 [4 per cell]
Be 0.078 0.750 0.625 [8 per cell]
F 0.000 0.000 0.500 [4 per cell]

Results
Size of the total moment (μB per formula unit): 0.00
Volume (Å³ per cell): 233

---

Which structure is the least stable? The one labeled *i*.

---

*i*
A plane-wave DFT calculation with GGA-PBE was carried out for Sc2BeF after structural relaxation.

a b c (Å): 5.180 5.180 11.086
angles (deg): 90.00 90.00 90.00
Space group I-42d (No. 122)
Inequivalent atoms, fractional coordinates:
Sc 0.202 0.250 0.125 [8 per cell]
Be 0.000 0.000 0.500 [4 per cell]
F 0.000 0.000 0.000 [4 per cell]

Results
Size of the total moment (μB per formula unit): 0.00
Volume (Å³ per cell): 297

---

*ii*
A plane-wave DFT calculation with GGA-PBE was carried out for Sc2BeF after structural relaxation.

a b c (Å): 6.352 6.352 6.352
angles (deg): 90.00 90.00 90.00
Space group Fm-3m (No. 225)
Inequivalent atoms, fractional coordinates:
Sc 0.250 0.250 0.250 [8 per cell]
Be 0.000 0.000 0.000 [4 per cell]
F 0.000 0.000 0.500 [4 per cell]

Results
Size of the total moment (μB per formula unit): 0.00
Volume (Å³ per cell): 256

---

Which structure is the least stable? The one labeled *ii*.

---

*i*
A plane-wave DFT calculation with GGA-PBE was carried out for ScBeF3 after structural relaxation.

a b c (Å): 3.762 3.762 3.762
angles (deg): 90.00 90.00 90.00
Space group Pm-3m (No. 221)
Inequivalent atoms, fractional coordinates:
Sc 0.000 0.000 0.000 [1 per cell]
Be 0.500 0.500 0.500 [1 per cell]
F 0.000 0.500 0.500 [3 per cell]

Results
Size of the total moment (μB per formula unit): 1.75
Volume (Å³ per cell): 53

---

*ii*
A plane-wave DFT calculation with GGA-PBE was carried out for ScBeF3 after structural relaxation.

a b c (Å): 4.175 4.175 4.175
angles (deg): 90.00 90.00 90.00
Space group Pm-3m (No. 221)
Inequivalent atoms, fractional coordinates:
Sc 0.000 0.000 0.000 [1 per cell]
Be 0.500 0.500 0.500 [1 per cell]
F 0.000 0.000 0.500 [3 per cell]

Results
Size of the total moment (μB per formula unit): 0.00
Volume (Å³ per cell): 73

---

Which structure is the least stable? The one labeled *i*.

---

*i*
A plane-wave DFT calculation with GGA-PBE was carried out for ScBe2F2 after structural relaxation.

a b c (Å): 3.624 3.624 8.817
angles (deg): 90.00 90.00 90.00
Space group I4/mmm (No. 139)
Inequivalent atoms, fractional coordinates:
Sc 0.000 0.000 0.000 [2 per cell]
Be 0.000 0.000 0.388 [4 per cell]
F 0.000 0.500 0.250 [4 per cell]

Results
Size of the total moment (μB per formula unit): 0.92
Volume (Å³ per cell): 116

---

*ii*
A plane-wave DFT calculation with GGA-PBE was carried out for ScBe2F2 after structural relaxation.

a b c (Å): 7.511 7.511 2.412
angles (deg): 90.00 90.00 90.00
Space group P4/mbm (No. 127)
Inequivalent atoms, fractional coordinates:
Sc 0.000 0.000 0.000 [2 per cell]
Be 0.110 0.390 0.000 [4 per cell]
F 0.102 0.602 0.500 [4 per cell]

Results
Size of the total moment (μB per formula unit): 0.00
Volume (Å³ per cell): 136

---

Which structure is the least stable? The one labeled *ii*.